Entry 1:
Computed, not measured: a relaxed structure of CdSiCl2 at the GGA-PBE level of DFT.

Output
Crystal system: trigonal
Space-group type: No. 166
Calculated density in g cm⁻³: 3.963
Total energy in eV/cell: -10.64
ΔE to the lowest computed polymorph in eV per atom: 0.195
E_form (uncorrected) in eV/atom: -0.153

abc: 9.533 9.533 9.533
angles: 19.99 19.99 19.99
Atoms (fractional coordinates):
Cd  0.000  0.000  0.000
Si  0.500  0.500  0.500
Cl  0.419  0.419  0.419
Cl  0.581  0.581  0.581



Entry 2:
Computed, not measured: a relaxed structure of CdSi2Cl at the GGA-PBE level of DFT.

Output
Crystal system: orthorhombic
Space-group type: No. 71
Calculated density in g cm⁻³: 4.143
Total energy in eV/cell: -12.18
ΔE to the lowest computed polymorph in eV per atom: 0.311
E_form (uncorrected) in eV/atom: 0.358

abc: 6.523 6.523 6.523
angles: 153.82 137.89 50.26
Atoms (fractional coordinates):
Cd  0.000  0.000  0.000
Si  0.216  0.716  0.500
Si  0.784  0.284  0.500
Cl  0.500  0.500  0.000



Entry 3:
Computed, not measured: a relaxed structure of Cd3SiCl at the GGA-PBE level of DFT.

Output
Crystal system: cubic
Space-group type: No. 221
Calculated density in g cm⁻³: 4.764
Total energy in eV/cell: -10.20
ΔE to the lowest computed polymorph in eV per atom: 0.000
E_form (uncorrected) in eV/atom: -0.037

abc: 5.189 5.189 5.189
angles: 90.00 90.00 90.00
Atoms (fractional coordinates):
Cd  0.000  0.000  0.500
Cd  0.000  0.500  0.000
Cd  0.500  0.000  0.000
Si  0.000  0.000  0.000
Cl  0.500  0.500  0.500



Entry 4:
Computed, not measured: a relaxed structure of CdSi2Cl at the GGA-PBE level of DFT.

Output
Crystal system: monoclinic
Space-group type: No. 10
Calculated density in g cm⁻³: 3.999
Total energy in eV/cell: -12.87
ΔE to the lowest computed polymorph in eV per atom: 0.138
E_form (uncorrected) in eV/atom: 0.184

abc: 3.957 5.456 3.968
angles: 90.00 98.47 90.00
Atoms (fractional coordinates):
Cd  0.000  0.000  0.000
Si  0.197  0.500  0.803
Si  0.803  0.500  0.197
Cl  0.500  0.000  0.500